1.
Entry from Alexandria: a geometry-optimized FeTcOs structure (GGA-PBE).

As for the total energy: -9.935 eV per atom. The calculated formation energy is 0.08 eV per atom. The value obtained for the calculated volume is 162.3 Å³/cell. The value obtained for the energy relative to the lowest polymorph listed for this composition is 0.28 eV per formula unit.

a = 4.609 Å, b = 8.040 Å, c = 4.634 Å
α = 90.00°, β = 109.04°, γ = 90.00°
Space group C2 (No. 5)
Asymmetric unit:
1 Fe 0.000 0.000 0.000
2 Fe 0.000 0.164 0.500
3 Tc 0.000 0.333 0.000
4 Tc 0.000 0.497 0.500
5 Os 0.000 0.671 0.000
6 Os 0.000 0.833 0.500


2.
Entry from Alexandria: a geometry-optimized NaRePd structure (GGA-PBE).

As for the total energy: -5.907 eV per atom. The calculated formation energy is 0.41 eV per atom. The value obtained for the calculated volume is 114.4 Å³/cell. The value obtained for the energy relative to the lowest polymorph listed for this composition is 0.50 eV per formula unit.

a = 3.665 Å, b = 3.665 Å, c = 8.515 Å
α = 90.00°, β = 90.00°, γ = 90.00°
Space group P4/nmm (No. 129, origin choice 2)
Asymmetric unit:
1 Na 0.250 0.250 0.127
2 Re 0.250 0.750 0.500
3 Pd 0.250 0.250 0.736